# AlAs3S5Cl4 (PBE, relaxed)
data_AlAs3S5Cl4
_chemical_formula_sum 'Al2 As6 S10 Cl8'
_cell_length_a 6.955
_cell_length_b 10.006
_cell_length_c 12.197
_cell_angle_alpha 90.00
_cell_angle_beta 106.17
_cell_angle_gamma 90.00
_space_group_name_H-M_alt 'P 1 21/m 1'
_space_group_IT_number 11
loop_
_space_group_symop_operation_xyz
'x,y,z'
'-x,-y,-z'
'-x,y+1/2,-z'
'x,-y+1/2,z'
loop_
_atom_site_label
_atom_site_fract_x
_atom_site_fract_y
_atom_site_fract_z
Al1 0.229 0.250 0.204
As1 0.077 0.250 0.536
As2 0.304 0.080 0.812
S1 0.044 0.250 0.806
S2 0.145 0.750 0.351
S3 0.250 0.068 0.621
S4 0.475 0.750 0.125
Cl1 0.078 0.750 0.792
Cl2 0.279 0.073 0.112
Cl3 0.427 0.250 0.375
# - volume (A^3/atom) = 31.357
# - formation energy from raw total energies (meV/atom) = -630


# PmPrGa2 (PBE, relaxed)
data_PmPrGa2
_chemical_formula_sum 'Pm3 Pr3 Ga6'
_cell_length_a 3.8276
_cell_length_b 3.8276
_cell_length_c 26.5417
_cell_angle_alpha 90.00
_cell_angle_beta 90.00
_cell_angle_gamma 120.00
_space_group_name_H-M_alt 'R -3 m'
_space_group_IT_number 166
_space_group_name_Hall '-R 3 2"'
loop_
_atom_site_label
_atom_site_fract_x
_atom_site_fract_y
_atom_site_fract_z
Pm1 0.0000 0.0000 0.0000
Pr1 0.0000 0.0000 0.5000
Ga1 0.0000 0.0000 0.2512
# - volume (A^3/atom) = 28.062
# - formation energy from the elements (meV per atom) = -371
# - distance to the lowest polymorph of the same formula (kJ per mole of atoms) = 21.0


# Cr2Cd (PBE, relaxed)
data_Cr2Cd
_chemical_formula_sum 'Cr8 Cd4'
_cell_length_a 2.571
_cell_length_b 14.797
_cell_length_c 4.528
_cell_angle_alpha 90.00
_cell_angle_beta 90.00
_cell_angle_gamma 90.00
_space_group_name_H-M_alt 'C m c m'
_space_group_IT_number 63
_space_group_name_Hall '-C 2c 2'
loop_
_atom_site_label
_atom_site_fract_x
_atom_site_fract_y
_atom_site_fract_z
Cr1 0.000 0.050 0.250
Cr2 0.000 0.286 0.750
Cd1 0.000 0.384 0.250
# - volume (A^3/atom) = 14.353
# - formation energy from the elements (meV per atom) = 687


# TbPm2Ge3Ir4 (PBE, relaxed)
data_TbPm2Ge3Ir4
_chemical_formula_sum 'Tb1 Pm2 Ge3 Ir4'
_cell_length_a 4.194
_cell_length_b 4.194
_cell_length_c 11.271
_cell_angle_alpha 90.00
_cell_angle_beta 90.00
_cell_angle_gamma 90.00
_space_group_name_H-M_alt 'P -4 m 2'
_space_group_IT_number 115
loop_
_space_group_symop_operation_xyz
'x,y,z'
'y,-x,-z'
'-x,-y,z'
'-y,x,-z'
'-x,y,z'
'-y,-x,-z'
'x,-y,z'
'y,x,-z'
loop_
_atom_site_label
_atom_site_fract_x
_atom_site_fract_y
_atom_site_fract_z
Tb1 0.000 0.000 0.000
Pm1 0.000 0.500 0.729
Ge1 0.000 0.500 0.378
Ge2 0.500 0.500 0.000
Ir1 0.000 0.000 0.500
Ir2 0.000 0.500 0.161
Ir3 0.500 0.500 0.500
# - volume (A^3/atom) = 19.826
# - formation energy from the elements (meV per atom) = -782


# KRuPb2 (PBE, relaxed)
data_KRuPb2
_chemical_formula_sum 'K1 Ru1 Pb2'
_cell_length_a 3.388
_cell_length_b 3.413
_cell_length_c 8.894
_cell_angle_alpha 90.00
_cell_angle_beta 90.00
_cell_angle_gamma 90.00
_space_group_name_H-M_alt 'P m m m'
_space_group_IT_number 47
loop_
_space_group_symop_operation_xyz
'x,y,z'
'-x,-y,-z'
'-x,-y,z'
'x,y,-z'
'x,-y,-z'
'-x,y,z'
'-x,y,-z'
'x,-y,z'
loop_
_atom_site_label
_atom_site_fract_x
_atom_site_fract_y
_atom_site_fract_z
K1 0.000 0.000 0.000
Ru1 0.000 0.000 0.500
Pb1 0.500 0.500 0.312
# - volume (A^3/atom) = 25.708
# - formation energy from the elements (meV per atom) = 123


# MnCoNi2Te6 (PBE, relaxed)
data_MnCoNi2Te6
_chemical_formula_sum 'Mn4 Co4 Ni8 Te24'
_cell_length_a 11.358
_cell_length_b 12.270
_cell_length_c 6.792
_cell_angle_alpha 90.00
_cell_angle_beta 108.86
_cell_angle_gamma 90.00
_space_group_name_H-M_alt 'C 1 2/c 1'
_space_group_IT_number 15
loop_
_space_group_symop_operation_xyz
'x,y,z'
'-x,-y,-z'
'-x,y,-z+1/2'
'x,-y,z+1/2'
'x+1/2,y+1/2,z'
'-x+1/2,-y+1/2,-z'
'-x+1/2,y+1/2,-z+1/2'
'x+1/2,-y+1/2,z+1/2'
loop_
_atom_site_label
_atom_site_fract_x
_atom_site_fract_y
_atom_site_fract_z
Mn1 0.000 0.073 0.250
Co1 0.000 0.231 0.750
Ni1 0.116 0.411 0.230
Te1 0.094 0.394 0.591
Te2 0.138 0.217 0.129
Te3 0.139 0.082 0.655
# - volume (A^3/atom) = 22.394
# - formation energy from raw total energies (meV/atom) = -120


# RePN2 (PBE, relaxed)
data_RePN2
_chemical_formula_sum 'Re3 P3 N6'
_cell_length_a 2.8289
_cell_length_b 2.8289
_cell_length_c 18.7029
_cell_angle_alpha 90.00
_cell_angle_beta 90.00
_cell_angle_gamma 120.00
_space_group_name_H-M_alt 'R -3 m'
_space_group_IT_number 166
_space_group_name_Hall '-R 3 2"'
loop_
_atom_site_label
_atom_site_fract_x
_atom_site_fract_y
_atom_site_fract_z
Re1 0.0000 0.0000 0.0000
P1 0.0000 0.0000 0.5000
N1 0.0000 0.0000 0.4033
# - volume (A^3/atom) = 10.802
# - formation energy from raw total energies (meV/atom) = 328


# SiNiAg2 (PBE, relaxed)
data_SiNiAg2
_chemical_formula_sum 'Si2 Ni2 Ag4'
_cell_length_a 3.805
_cell_length_b 3.805
_cell_length_c 8.279
_cell_angle_alpha 90.00
_cell_angle_beta 90.00
_cell_angle_gamma 90.00
_space_group_name_H-M_alt 'I 4/m m m'
_space_group_IT_number 139
_space_group_name_Hall '-I 4 2'
loop_
_atom_site_label
_atom_site_fract_x
_atom_site_fract_y
_atom_site_fract_z
Si1 0.000 0.000 0.000
Ni1 0.000 0.000 0.500
Ag1 0.000 0.500 0.250
# - volume (A^3/atom) = 14.983
# - formation energy from raw total energies (meV/atom) = 196


# Zr4PdRh (PBE, relaxed)
data_Zr4PdRh
_chemical_formula_sum 'Zr8 Pd2 Rh2'
_cell_length_a 6.629
_cell_length_b 6.629
_cell_length_c 5.531
_cell_angle_alpha 90.00
_cell_angle_beta 90.00
_cell_angle_gamma 90.00
_space_group_name_H-M_alt 'P 4/m c c'
_space_group_IT_number 124
_space_group_name_Hall '-P 4 2c'
loop_
_atom_site_label
_atom_site_fract_x
_atom_site_fract_y
_atom_site_fract_z
Zr1 0.157 0.334 0.000
Pd1 0.500 0.500 0.250
Rh1 0.000 0.000 0.250
# - volume (A^3/atom) = 20.254
# - formation energy from the elements (meV per atom) = -509
# - distance to the lowest polymorph of the same formula (kJ per mole of atoms) = 0.0


# RbCuBi2 (PBE, relaxed)
data_RbCuBi2
_chemical_formula_sum 'Rb4 Cu4 Bi8'
_cell_length_a 7.752
_cell_length_b 7.752
_cell_length_c 7.752
_cell_angle_alpha 90.00
_cell_angle_beta 90.00
_cell_angle_gamma 90.00
_space_group_name_H-M_alt 'F m -3 m'
_space_group_IT_number 225
_space_group_name_Hall '-F 4 2 3'
loop_
_atom_site_label
_atom_site_fract_x
_atom_site_fract_y
_atom_site_fract_z
Rb1 0.000 0.000 0.000
Cu1 0.000 0.000 0.500
Bi1 0.250 0.250 0.250
# - volume (A^3/atom) = 29.117
# - formation energy from the elements (meV per atom) = 367
# - distance to the lowest polymorph of the same formula (kJ per mole of atoms) = 35.4


# TbNdHg (PBE, relaxed)
data_TbNdHg
_chemical_formula_sum 'Tb4 Nd4 Hg4'
_cell_length_a 7.351
_cell_length_b 5.148
_cell_length_c 9.391
_cell_angle_alpha 90.00
_cell_angle_beta 90.00
_cell_angle_gamma 90.00
_space_group_name_H-M_alt 'P n m a'
_space_group_IT_number 62
loop_
_space_group_symop_operation_xyz
'x,y,z'
'-x,-y,-z'
'-x+1/2,-y,z+1/2'
'x+1/2,y,-z+1/2'
'x+1/2,-y+1/2,-z+1/2'
'-x+1/2,y+1/2,z+1/2'
'-x,y+1/2,-z'
'x,-y+1/2,z'
loop_
_atom_site_label
_atom_site_fract_x
_atom_site_fract_y
_atom_site_fract_z
Tb1 0.164 0.250 0.075
Nd1 0.014 0.250 0.690
Hg1 0.248 0.250 0.396
# - volume (A^3/atom) = 29.613
# - formation energy from the elements (meV per atom) = -338
# - distance to the lowest polymorph of the same formula (kJ per mole of atoms) = 0.0


# CaCo2Mo (PBE, relaxed)
data_CaCo2Mo
_chemical_formula_sum 'Ca2 Co4 Mo2'
_cell_length_a 2.691
_cell_length_b 4.562
_cell_length_c 9.936
_cell_angle_alpha 90.00
_cell_angle_beta 90.00
_cell_angle_gamma 90.00
_space_group_name_H-M_alt 'I m m 2'
_space_group_IT_number 44
loop_
_space_group_symop_operation_xyz
'x,y,z'
'-x,-y,z'
'-x,y,z'
'x,-y,z'
'x+1/2,y+1/2,z+1/2'
'-x+1/2,-y+1/2,z+1/2'
'-x+1/2,y+1/2,z+1/2'
'x+1/2,-y+1/2,z+1/2'
loop_
_atom_site_label
_atom_site_fract_x
_atom_site_fract_y
_atom_site_fract_z
Ca1 0.000 0.000 0.000
Co1 0.000 0.000 0.483
Co2 0.000 0.500 0.780
Mo1 0.000 0.500 0.206
# - volume (A^3/atom) = 15.245
# - formation energy from the elements (meV per atom) = 472
# - distance to the lowest polymorph of the same formula (kJ per mole of atoms) = 24.5


What are the total DFT energy (no corrections) values for these records? In order: -4.147; -4.267; -6.034; -7.124; -4.325; -4.788; -8.299; -4.031; -8.299; -2.840; -3.572; -6.289 eV per atom.
What are the calculated density values for these records? In order: 2.26; 6.29; 8.35; 12.03; 8.96; 7.39; 9.42; 8.38; 7.85; 8.08; 9.42; 6.91 g cm⁻³.